*w*
Material: Fe3Co4
Method: DFT, GGA-PBEsol
State: relaxed

The space group is Fmmm (No. 69) and the conventional cell measures 2.777, 3.929 and 27.565 Å, with angles of 90.00, 90.00 and 90.00 degrees. Symmetry generates all atoms from Fe at (0.000, 0.000, 0.000), Fe at (0.000, 0.000, 0.427), Co at (0.000, 0.000, 0.144) and Co at (0.000, 0.000, 0.285).

The calculation puts the total moment at 14.03 μB/f.u.

***

*x*
Material: Fe3Co4
Method: DFT, GGA-PBEsol
State: relaxed

The space group is R3m (No. 160, hexagonal axes) and the conventional cell measures 3.9422, 3.9422 and 16.8838 Å, with angles of 90.00, 90.00 and 120.00 degrees. Symmetry generates all atoms from Fe at (0.0000, 0.0000, 0.0000), Fe at (0.0000, 0.0000, 0.1444), Fe at (0.0000, 0.0000, 0.7152), Co at (0.0000, 0.0000, 0.2856), Co at (0.0000, 0.0000, 0.4302), Co at (0.0000, 0.0000, 0.5741) and Co at (0.0000, 0.0000, 0.8575).

The calculation puts the total moment at 14.63 μB/f.u.

***

It is *x* that is most stable; the runner-up trails by 0.031 eV/atom.